Record 1
Here is a crystal of IrOs relaxed with PBEsol from Alexandria. Energies are from meta-GGA SCAN.

```
IrOs
1.0
2.732 0.000 0.000
-1.366 2.366 0.000
0.000 0.000 8.698
Ir Os
2 2
Cartesian
0.000 1.578 7.567
1.366 0.789 1.132
0.000 1.578 3.296
1.366 0.789 5.402
```

Summary:
The value obtained for the formation energy is 0.00 eV per atom. Its space group is P-3m1. The calculation puts the density of states at the Fermi level at 1.194 states/eV/f.u. The calculation puts the uncorrected energy at -71.485 eV/atom. The spin magnetization is 0.00 Bohr magnetons per cell.

***

Record 2
Here is a crystal of IrOs5 relaxed with PBEsol from Alexandria. Energies are from meta-GGA SCAN.

```
IrOs5
1.0
4.317 0.000 0.000
0.000 4.733 0.000
0.000 -2.367 4.099
Os Ir
5 1
Cartesian
0.000 0.792 1.371
2.158 0.000 2.733
2.158 2.367 1.366
0.000 3.150 0.000
0.000 -1.575 2.728
2.158 0.000 0.000
```

Summary:
The energy above the most stable polymorph in this dataset comes out at 0 meV/atom. The value obtained for the formation energy is -0.01 eV per atom. Its space group is P-62m. The calculation puts the density of states at the Fermi level at 3.744 states/eV/f.u. The calculation puts the uncorrected energy at -71.761 eV/atom. The spin magnetization is 0.00 Bohr magnetons per cell.

***

Record 3
Here is a crystal of IrOs5 relaxed with PBEsol from Alexandria. Energies are from meta-GGA SCAN.

```
IrOs5
1.0
2.727 0.000 0.000
-1.363 4.926 -0.001
0.000 -1.523 6.225
Os Ir
5 1
Cartesian
1.363 0.764 5.877
0.000 2.265 4.132
0.000 -0.381 3.802
0.000 3.396 1.736
1.363 1.133 2.089
0.000 -1.520 6.224
```

Summary:
The energy above the most stable polymorph in this dataset comes out at 8 meV/atom. The value obtained for the formation energy is 0.00 eV per atom. Its space group is Cm. The calculation puts the density of states at the Fermi level at 3.318 states/eV/f.u. The calculation puts the uncorrected energy at -71.753 eV/atom. The spin magnetization is 0.00 Bohr magnetons per cell.

***

Record 4
Here is a crystal of Ir2Os relaxed with PBEsol from Alexandria. Energies are from meta-GGA SCAN.

```
Ir2Os
1.0
-1.241 0.557 2.335
0.722 -2.420 0.961
10.404 5.655 2.619
Ir Os
4 2
Cartesian
6.027 3.374 3.964
1.316 -0.198 2.311
2.876 1.907 2.638
8.569 3.990 3.604
5.433 1.152 2.614
0.000 0.000 0.000
```

Summary:
The energy above the most stable polymorph in this dataset comes out at 152 meV/atom. The value obtained for the formation energy is 0.15 eV per atom. Its space group is I4_1/amd. The calculation puts the density of states at the Fermi level at 2.958 states/eV/f.u. The calculation puts the uncorrected energy at -71.212 eV/atom. The spin magnetization is 0.00 Bohr magnetons per cell.

***

Record 5
Here is a crystal of IrOs2 relaxed with PBEsol from Alexandria. Energies are from meta-GGA SCAN.

```
IrOs2
1.0
-1.994 1.241 -3.023
-3.228 -0.193 2.050
4.144 10.301 3.920
Ir Os
4 8
Cartesian
-1.331 9.563 2.380
0.253 1.786 0.567
-0.594 7.102 3.308
-1.100 3.530 2.175
-0.486 4.232 -0.366
0.764 5.392 1.710
-1.841 5.957 1.236
-2.356 2.325 0.085
0.025 7.834 0.776
-0.084 10.708 4.451
-1.611 -0.076 1.031
1.278 9.024 2.862
```

Summary:
The energy above the most stable polymorph in this dataset comes out at 69 meV/atom. The value obtained for the formation energy is 0.06 eV per atom. Its space group is I4_1/amd. The calculation puts the density of states at the Fermi level at 2.156 states/eV/f.u. The calculation puts the uncorrected energy at -71.556 eV/atom. The spin magnetization is 0.00 Bohr magnetons per cell.

***

Record 6
Here is a crystal of IrOs2 relaxed with PBEsol from Alexandria. Energies are from meta-GGA SCAN.

```
IrOs2
1.0
2.727 0.000 0.000
-1.363 4.932 0.002
0.000 -1.535 6.227
Ir Os
2 4
Cartesian
1.363 3.389 6.210
1.363 1.143 2.099
1.363 0.751 5.876
0.000 2.264 4.149
0.000 3.413 1.734
0.000 -0.402 3.809
```

Summary:
The energy above the most stable polymorph in this dataset comes out at 13 meV/atom. The value obtained for the formation energy is 0.01 eV per atom. Its space group is Cm. The calculation puts the density of states at the Fermi level at 1.767 states/eV/f.u. The calculation puts the uncorrected energy at -71.613 eV/atom. The spin magnetization is 0.00 Bohr magnetons per cell.